(1)
Compound: PrUSi
Source: the Alexandria database
Functional: PBE-GGA
Structure: relaxed

Values from the calculation:
calculated total energy	-7.445	eV per atom
formation energy (no corrections)	-0.2817	eV per atom
density	9.3	g cm⁻³

Geometry as POSCAR:
```
PrUSi
1.0
3.869 0.000 0.000
0.000 4.457 0.316
-1.935 -0.823 8.329
U Pr Si
2 2 2
Direct
0.757 0.194 0.514
0.243 0.806 0.486
0.573 0.754 0.146
0.427 0.246 0.854
0.876 0.731 0.752
0.124 0.269 0.248
```

(2)
Compound: PrSiW
Source: the Alexandria database
Functional: PBE-GGA
Structure: relaxed

Values from the calculation:
calculated total energy	-8.078	eV per atom
formation energy (no corrections)	-0.3599	eV per atom
density	9.2	g cm⁻³

Geometry as POSCAR:
```
PrSiW
1.0
-3.459 0.906 1.707
-1.651 -3.205 -1.644
2.055 -4.390 6.495
Si Pr W
2 2 2
Direct
0.500 0.000 0.714
0.000 0.500 0.286
0.500 0.000 0.148
0.000 0.500 0.852
0.500 0.500 0.500
0.000 0.000 0.500
```

(3)
Compound: PrYSi3
Source: the Alexandria database
Functional: PBE-GGA
Structure: relaxed

Values from the calculation:
calculated total energy	-6.213	eV per atom
formation energy (no corrections)	-0.7104	eV per atom
density	4.9	g cm⁻³

Geometry as POSCAR:
```
PrYSi3
1.0
-1.681 1.729 -3.166
2.030 -2.767 -2.589
-10.579 -6.405 2.120
Pr Y Si
2 2 6
Direct
0.250 0.071 0.141
0.750 0.929 0.859
0.250 0.797 0.595
0.750 0.203 0.405
0.250 0.379 0.758
0.750 0.621 0.242
0.250 0.475 0.949
0.750 0.525 0.051
0.750 0.321 0.643
0.250 0.679 0.357
```

(4)
Compound: PrYSi2
Source: the Alexandria database
Functional: PBE-GGA
Structure: relaxed

Values from the calculation:
calculated total energy	-6.004	eV per atom
formation energy (no corrections)	-0.4812	eV per atom
density	4.8	g cm⁻³

Geometry as POSCAR:
```
PrYSi2
1.0
-2.046 3.388 2.463
-4.032 -0.821 2.192
0.637 -0.679 5.874
Pr Y Si
1 1 2
Direct
0.500 0.500 0.500
0.000 0.000 0.000
0.259 0.259 0.222
0.741 0.741 0.778
```

(5)
Compound: PrYSi2
Source: the Alexandria database
Functional: PBE-GGA
Structure: relaxed

Values from the calculation:
calculated total energy	-6.303	eV per atom
formation energy (no corrections)	-0.7803	eV per atom
density	5.1	g cm⁻³

Geometry as POSCAR:
```
PrYSi2
1.0
-1.313 -3.362 -1.513
1.278 -2.747 4.995
-7.452 1.644 2.812
Pr Y Si
2 2 4
Direct
0.000 0.134 0.680
0.000 0.866 0.180
0.500 0.365 0.319
0.500 0.635 0.819
0.000 0.621 0.536
0.000 0.379 0.036
0.500 0.868 0.465
0.500 0.132 0.965
```

(6)
Compound: PrY2Si
Source: the Alexandria database
Functional: PBE-GGA
Structure: relaxed

Values from the calculation:
calculated total energy	-5.827	eV per atom
formation energy (no corrections)	-0.0447	eV per atom
density	4.6	g cm⁻³

Geometry as POSCAR:
```
PrY2Si
1.0
3.642 0.000 0.000
1.821 3.154 0.000
1.821 1.051 10.867
Pr Y Si
1 2 1
Direct
0.000 0.000 0.000
0.109 0.109 0.673
0.891 0.891 0.327
0.500 0.500 0.500
```

(7)
Compound: PrY2Si6
Source: the Alexandria database
Functional: PBE-GGA
Structure: relaxed

Values from the calculation:
calculated total energy	-6.125	eV per atom
formation energy (no corrections)	-0.5423	eV per atom
density	4.5	g cm⁻³

Geometry as POSCAR:
```
PrY2Si6
1.0
-1.001 0.075 3.910
-3.432 -6.217 -0.760
6.919 0.066 1.769
Pr Y Si
1 2 6
Direct
0.000 0.000 0.000
0.000 0.333 0.667
0.000 0.667 0.333
0.500 0.336 0.336
0.500 0.664 0.664
0.500 0.000 0.664
0.500 0.664 0.000
0.500 0.336 0.000
0.500 0.000 0.336
```

(8)
Compound: Pr2YSi
Source: the Alexandria database
Functional: PBE-GGA
Structure: relaxed

Values from the calculation:
calculated total energy	-5.290	eV per atom
formation energy (no corrections)	0.0718	eV per atom
density	4.9	g cm⁻³

Geometry as POSCAR:
```
Pr2YSi
1.0
3.758 0.000 0.000
1.879 3.255 0.000
1.879 1.085 10.938
Pr Y Si
2 1 1
Direct
0.107 0.107 0.679
0.893 0.893 0.321
0.000 0.000 0.000
0.500 0.500 0.500
```

(9)
Compound: PrY2Si
Source: the Alexandria database
Functional: PBE-GGA
Structure: relaxed

Values from the calculation:
calculated total energy	-5.989	eV per atom
formation energy (no corrections)	-0.2061	eV per atom
density	4.7	g cm⁻³

Geometry as POSCAR:
```
PrY2Si
1.0
3.851 0.000 0.000
1.925 3.335 0.000
1.925 1.112 9.612
Pr Y Si
1 2 1
Direct
0.501 0.501 0.496
0.060 0.060 0.819
0.272 0.272 0.183
0.666 0.666 0.002
```

(10)
Compound: Pr2Y3Si4
Source: the Alexandria database
Functional: PBE-GGA
Structure: relaxed

Values from the calculation:
calculated total energy	-6.399	eV per atom
formation energy (no corrections)	-0.7716	eV per atom
density	5.0	g cm⁻³

Geometry as POSCAR:
```
Pr2Y3Si4
1.0
7.536 0.118 0.000
-2.361 7.417 0.000
0.000 0.000 7.833
Pr Y Si
4 6 8
Direct
0.584 0.198 0.322
0.916 0.802 0.822
0.416 0.802 0.678
0.084 0.198 0.178
0.000 0.500 0.500
0.500 0.500 0.000
0.753 0.245 0.820
0.747 0.755 0.320
0.247 0.755 0.180
0.253 0.245 0.680
0.879 0.079 0.531
0.621 0.921 0.031
0.121 0.921 0.469
0.379 0.079 0.969
0.877 0.494 0.118
0.623 0.506 0.618
0.123 0.506 0.882
0.377 0.494 0.382
```

(11)
Compound: Pr3YSi2
Source: the Alexandria database
Functional: PBE-GGA
Structure: relaxed

Values from the calculation:
calculated total energy	-5.754	eV per atom
formation energy (no corrections)	-0.4788	eV per atom
density	5.6	g cm⁻³

Geometry as POSCAR:
```
Pr3YSi2
1.0
-2.233 2.292 8.239
2.233 -2.292 8.239
2.233 2.292 -8.239
Pr Y Si
3 1 2
Direct
0.500 0.500 0.000
0.318 0.818 0.500
0.682 0.182 0.500
0.000 0.000 0.000
0.868 0.368 0.500
0.132 0.632 0.500
```

(12)
Compound: Pr5YSi4
Source: the Alexandria database
Functional: PBE-GGA
Structure: relaxed

Values from the calculation:
calculated total energy	-5.684	eV per atom
formation energy (no corrections)	-0.4782	eV per atom
density	5.4	g cm⁻³

Geometry as POSCAR:
```
Pr5YSi4
1.0
5.093 0.000 0.000
0.000 6.493 -2.597
-2.547 -3.427 9.869
Pr Y Si
5 1 4
Direct
0.833 0.676 0.667
0.836 0.172 0.673
0.164 0.828 0.327
0.500 0.500 0.000
0.167 0.324 0.333
0.500 0.000 0.000
0.325 0.901 0.651
0.992 0.747 0.983
0.675 0.099 0.349
0.008 0.253 0.017
```